1.
Compound: Y2CrCdPd
Source: Alexandria
Functional: GGA-PBEsol
Structure: relaxed

POSCAR file:
```
Y2CrCdPd
1.0
5.247 0.000 0.000
0.000 5.247 0.000
0.000 0.000 4.901
Y Cr Cd Pd
2 1 1 1
direct
0.000 0.500 0.000
0.500 0.000 0.000
0.000 0.000 0.500
0.500 0.500 0.500
0.000 0.000 0.000
```

Properties
**Density of states at the Fermi level**: 4.72 states/eV/f.u.
**Magnetic moment**: 4.51 Bohr magnetons per cell
**Symmetry**: P4/mmm
**DFT formation energy**: 0.240 eV per atom

2.
Compound: CrHg2Cl
Source: Alexandria
Functional: GGA-PBEsol
Structure: relaxed

POSCAR file:
```
CrHg2Cl
1.0
-1.544 2.062 6.853
1.544 -2.062 6.853
1.544 2.062 -6.853
Cr Hg Cl
1 2 1
direct
0.000 0.000 0.000
0.187 0.687 0.500
0.813 0.313 0.500
0.500 0.500 0.000
```

Properties
**Density of states at the Fermi level**: 1.81 states/eV/f.u.
**E above lowest polymorph**: 0.018 eV/atom
**Magnetic moment**: 4.45 Bohr magnetons per cell
**Symmetry**: Immm
**Formation energy from raw total energies**: 0.0604 eV/atom